No. 1
Material: LiIrW2
Method: DFT, PBE-GGA
State: optimized geometry

The structure in CIF format:
```
data_LiIrW2
_chemical_formula_sum 'Li2 Ir2 W4'
_cell_length_a 8.836
_cell_length_b 2.728
_cell_length_c 4.982
_cell_angle_alpha 90.00
_cell_angle_beta 96.40
_cell_angle_gamma 90.00
_symmetry_space_group_name_H-M 'C 1 m 1'
_symmetry_Int_Tables_number 8
loop_
_symmetry_equiv_pos_as_xyz
'x,y,z'
'x,-y,z'
'x+1/2,y+1/2,z'
'x+1/2,-y+1/2,z'
loop_
_atom_site_label
_atom_site_type_symbol
_atom_site_fract_x
_atom_site_fract_y
_atom_site_fract_z
Li1 Li 0.000 0.000 0.000
Ir1 Ir 0.250 0.500 0.245
W1 W 0.243 0.000 0.769
W2 W 0.489 0.000 0.488
```

## Properties
ΔE to the lowest computed polymorph (meV per atom): 78

***

No. 2
Material: LiIrW2
Method: DFT, PBE-GGA
State: optimized geometry

The structure in CIF format:
```
data_LiIrW2
_chemical_formula_sum 'Li2 Ir2 W4'
_cell_length_a 3.040
_cell_length_b 4.321
_cell_length_c 8.971
_cell_angle_alpha 90.00
_cell_angle_beta 90.00
_cell_angle_gamma 90.00
_symmetry_space_group_name_H-M 'I m m m'
_symmetry_Int_Tables_number 71
_symmetry_space_group_name_Hall '-I 2 2'
loop_
_atom_site_label
_atom_site_type_symbol
_atom_site_fract_x
_atom_site_fract_y
_atom_site_fract_z
Li1 Li 0.000 0.000 0.000
Ir1 Ir 0.000 0.000 0.500
W1 W 0.000 0.500 0.245
```

## Properties
ΔE to the lowest computed polymorph (meV per atom): 0

***

No. 3
Material: LiIr2W
Method: DFT, PBE-GGA
State: optimized geometry

The structure in CIF format:
```
data_LiIr2W
_chemical_formula_sum 'Li2 Ir4 W2'
_cell_length_a 9.253
_cell_length_b 2.720
_cell_length_c 4.710
_cell_angle_alpha 90.00
_cell_angle_beta 98.72
_cell_angle_gamma 90.00
_symmetry_space_group_name_H-M 'C 1 m 1'
_symmetry_Int_Tables_number 8
loop_
_symmetry_equiv_pos_as_xyz
'x,y,z'
'x,-y,z'
'x+1/2,y+1/2,z'
'x+1/2,-y+1/2,z'
loop_
_atom_site_label
_atom_site_type_symbol
_atom_site_fract_x
_atom_site_fract_y
_atom_site_fract_z
Li1 Li 0.000 0.000 0.000
Ir1 Ir 0.024 0.500 0.509
Ir2 Ir 0.245 0.000 0.821
W1 W 0.274 0.500 0.315
```

## Properties
VASP energy (eV per atom): -8.27

***

Copy entry 2 word for word.
Material: LiIrW2
Method: DFT, PBE-GGA
State: optimized geometry

The structure in CIF format:
```
data_LiIrW2
_chemical_formula_sum 'Li2 Ir2 W4'
_cell_length_a 3.040
_cell_length_b 4.321
_cell_length_c 8.971
_cell_angle_alpha 90.00
_cell_angle_beta 90.00
_cell_angle_gamma 90.00
_symmetry_space_group_name_H-M 'I m m m'
_symmetry_Int_Tables_number 71
_symmetry_space_group_name_Hall '-I 2 2'
loop_
_atom_site_label
_atom_site_type_symbol
_atom_site_fract_x
_atom_site_fract_y
_atom_site_fract_z
Li1 Li 0.000 0.000 0.000
Ir1 Ir 0.000 0.000 0.500
W1 W 0.000 0.500 0.245
```

## Properties
ΔE to the lowest computed polymorph (meV per atom): 0